# meta-GGA SCAN SrCaCr, PBEsol geometry
# Crystal system ... tetragonal
# Energy of formation ... 29 kJ/mol of atoms
data_SrCaCr
_cell_length_a 3.910
_cell_length_b 3.910
_cell_length_c 13.188
_cell_angle_alpha 90.00
_cell_angle_beta 90.00
_cell_angle_gamma 90.00
_symmetry_space_group_name_H-M 'I 4 m m'
_symmetry_Int_Tables_number 107
_symmetry_space_group_name_Hall 'I 4 -2'
loop_
_atom_site_label
_atom_site_type_symbol
_atom_site_fract_x
_atom_site_fract_y
_atom_site_fract_z
Sr1 Sr 0.000 0.000 0.000
Ca1 Ca 0.000 0.000 0.718
Cr1 Cr 0.000 0.000 0.347